Entry from Alexandria: Sc2Te2Ru after structural relaxation (PBE).

The formation energy without anion corrections is -0.5 kJ per mole of atoms. The uncorrected energy comes out at -5.65 eV/atom. As for the symmetry: No. 139.

Cell and atoms, written as extended XYZ:
```
5
Lattice="-2.8748 2.8748 4.3669 2.8748 -2.8748 4.3669 2.8748 2.8748 -4.3669" Properties=species:S:1:pos:R:3 pbc="T T T"
Sc 0.0000 0.0000 2.0437
Sc 0.0000 0.0000 6.6901
Te 2.8748 0.0000 2.1834
Te 0.0000 2.8748 2.1834
Ru 0.0000 0.0000 4.3669
```